No. 1
DFT (PBE-GGA) results for a relaxed BeBi3B crystal.

Calculated values
Formation energy from the elements ... 1.1665 eV per atom

a b c (Å): 5.0320 5.0320 5.0320
angles (deg): 90.00 90.00 90.00
Last column: nearest neighbours and their distance in Å.
Atoms (fractional coordinates):
Be 0.0000 0.0000 0.0000  12 Bi 3.56
Bi 0.0000 0.5000 0.5000  2 B 2.52
Bi 0.5000 0.0000 0.5000  2 B 2.52
Bi 0.5000 0.5000 0.0000  2 B 2.52
B 0.5000 0.5000 0.5000  6 Bi 2.52

---

No. 2
DFT (PBE-GGA) results for a relaxed Na3Tl4 crystal.

Calculated values
Formation energy from the elements ... -0.0920 eV per atom

a b c (Å): 8.6242 8.6242 8.6242
angles (deg): 113.63 113.63 113.63
Last column: nearest neighbours and their distance in Å.
Atoms (fractional coordinates):
Na 0.0579 0.7764 0.6381  8 Tl 3.30-3.36
Na 0.2236 0.3619 0.9421  8 Tl 3.30-3.36
Na 0.3619 0.9421 0.2236  8 Tl 3.30-3.36
Na 0.6381 0.0579 0.7764  8 Tl 3.30-3.36
Na 0.7764 0.6381 0.0579  8 Tl 3.30-3.36
Na 0.9421 0.2236 0.3619  8 Tl 3.30-3.36
Tl 0.0000 0.0000 0.0000  6 Na 3.30, 2 Tl 3.33
Tl 0.1343 0.5738 0.2798  7 Na 3.30-3.36, 1 Tl 3.43
Tl 0.2798 0.1343 0.5738  7 Na 3.30-3.36, 1 Tl 3.43
Tl 0.4262 0.7202 0.8657  7 Na 3.30-3.36, 1 Tl 3.43
Tl 0.5000 0.5000 0.5000  8 Tl 3.33-3.43
Tl 0.5738 0.2798 0.1343  7 Na 3.30-3.36, 1 Tl 3.43
Tl 0.7202 0.8657 0.4262  7 Na 3.30-3.36, 1 Tl 3.43
Tl 0.8657 0.4262 0.7202  7 Na 3.30-3.36, 1 Tl 3.43

---

No. 3
DFT (PBE-GGA) results for a relaxed Rh5Br crystal.

Calculated values
Formation energy without anion corrections ... 0.42 eV per atom

a b c (Å): 4.4404 7.3368 7.3368
angles (deg): 22.38 90.00 90.00
Last column: nearest neighbours and their distance in Å.
Atoms (fractional coordinates):
Rh 0.0000 0.0000 0.0000  4 Br 2.70, 8 Rh 2.79-2.87
Rh 0.0000 0.3267 0.3267  10 Rh 2.71-2.87, 2 Br 2.93
Rh 0.0000 0.6665 0.6665  12 Rh 2.71-2.85
Rh 0.5000 0.1232 0.1232  10 Rh 2.65-2.85, 2 Br 2.76
Rh 0.5000 0.7788 0.7788  10 Rh 2.65-2.85, 2 Br 2.96
Br 0.5000 0.4592 0.4592  10 Rh 2.70-2.96, 2 Br 2.85

---

| no. | size of the total moment (μB/f.u.) | Fermi-level density of states (states/eV/atom) |
| --- | --- | --- |
| 1 | 0.00 | 0.761 |
| 2 | 0.00 | 0.534 |
| 3 | 0.00 | 1.555 |